## LiY2MgC (PBE-GGA)

Data for LiY2MgC after structural relaxation. Values from VASP.

```
&SYSTEM
  ibrav = 0, nat = 5, ntyp = 4
/
ATOMIC_SPECIES
Y 88.91 Y.upf
Mg 24.30 Mg.upf
C 12.01 C.upf
Li 6.94 Li.upf
ATOMIC_POSITIONS crystal
Y 0.500 0.000 0.000
Mg 0.500 0.500 0.500
Y 0.000 0.000 0.500
C 0.000 0.000 0.000
Li 0.000 0.500 0.000
CELL_PARAMETERS angstrom
4.945 0.000 0.000
0.000 4.473 0.000
0.000 0.000 4.945
```

Computed properties:
Its symmetry is P4/mmm, No. 123. The calculation puts the volume at 109 Å³ per cell. As for the energy of formation: 0.01 eV/atom. The crystal system is tetragonal. Its energy above the most stable polymorph in this dataset is 32 meV per atom.

---

## Ce2Ga7Rh (PBE-GGA)

Data for Ce2Ga7Rh after structural relaxation. Values from VASP.

```
&SYSTEM
  ibrav = 0, nat = 10, ntyp = 3
/
ATOMIC_SPECIES
Ga 69.72 Ga.upf
Rh 102.91 Rh.upf
Ce 140.12 Ce.upf
ATOMIC_POSITIONS crystal
Ga 0.500 0.000 0.361
Rh 0.500 0.500 0.000
Ga 0.000 0.500 0.639
Ga 0.000 0.000 0.500
Ce 0.500 0.000 0.756
Ga 0.500 0.000 0.127
Ce 0.000 0.500 0.244
Ga 0.000 0.000 0.000
Ga 0.500 0.500 0.500
Ga 0.000 0.500 0.873
CELL_PARAMETERS angstrom
-3.445 -0.891 2.388
-0.330 -3.825 -1.904
6.233 -4.228 7.413
```

Computed properties:
Its symmetry is P-4m2, No. 115. The calculation puts the volume at 194 Å³ per cell. As for the energy of formation: -0.51 eV/atom. The crystal system is tetragonal.

---

## GaBi2Pd7Pb2 (PBE-GGA)

Data for GaBi2Pd7Pb2 after structural relaxation. Values from VASP.

```
&SYSTEM
  ibrav = 0, nat = 12, ntyp = 4
/
ATOMIC_SPECIES
Pd 106.42 Pd.upf
Pb 207.20 Pb.upf
Ga 69.72 Ga.upf
Bi 208.98 Bi.upf
ATOMIC_POSITIONS crystal
Pd 0.227 0.227 0.437
Pb 0.333 0.333 0.249
Pd 0.918 0.418 0.122
Ga 0.000 0.000 0.000
Pd 0.500 0.500 0.000
Pd 0.418 0.918 0.122
Bi 0.743 0.743 0.391
Pd 0.773 0.773 0.563
Pd 0.082 0.582 0.878
Pd 0.582 0.082 0.878
Bi 0.257 0.257 0.609
Pb 0.667 0.667 0.751
CELL_PARAMETERS angstrom
-1.158 -2.729 2.712
3.540 0.278 1.880
-3.966 9.508 11.962
```

Computed properties:
Its symmetry is C2/m, No. 12. The calculation puts the volume at 247 Å³ per cell. As for the energy of formation: -0.25 eV/atom. The crystal system is monoclinic.

---

## LaCdCu2 (PBE-GGA)

Data for LaCdCu2 after structural relaxation. Values from VASP.

```
&SYSTEM
  ibrav = 0, nat = 8, ntyp = 3
/
ATOMIC_SPECIES
Cu 63.55 Cu.upf
La 138.91 La.upf
Cd 112.41 Cd.upf
ATOMIC_POSITIONS crystal
Cu 0.875 0.625 0.750
La 0.000 0.000 0.000
Cu 0.375 0.625 0.250
Cd 0.500 0.500 0.000
Cu 0.375 0.125 0.250
Cu 0.375 0.625 0.750
Cd 0.250 0.750 0.500
La 0.750 0.250 0.500
CELL_PARAMETERS angstrom
-1.376 1.836 4.121
-4.416 -1.430 -0.838
-1.128 -7.655 5.732
```

Computed properties:
Its symmetry is I4_1/amd, No. 141. The calculation puts the volume at 201 Å³ per cell. As for the energy of formation: 0.13 eV/atom. The crystal system is tetragonal.

---

## Mn4ZnMo (PBE-GGA)

Data for Mn4ZnMo after structural relaxation. Values from VASP.

```
&SYSTEM
  ibrav = 0, nat = 6, ntyp = 3
/
ATOMIC_SPECIES
Mo 95.94 Mo.upf
Mn 54.94 Mn.upf
Zn 65.41 Zn.upf
ATOMIC_POSITIONS crystal
Mo 0.250 0.250 0.250
Mn 0.626 0.122 0.626
Mn 0.122 0.626 0.626
Mn 0.626 0.626 0.122
Zn 0.000 0.000 0.000
Mn 0.626 0.626 0.626
CELL_PARAMETERS angstrom
4.715 0.000 0.000
2.357 4.083 0.000
2.357 1.361 3.849
```

Computed properties:
Its symmetry is F-43m, No. 216. The calculation puts the volume at 74 Å³ per cell. As for the energy of formation: 0.05 eV/atom. The crystal system is cubic.

---

## Tm5GeRh2 (PBE-GGA)

Data for Tm5GeRh2 after structural relaxation. Values from VASP.

```
&SYSTEM
  ibrav = 0, nat = 16, ntyp = 3
/
ATOMIC_SPECIES
Ge 72.64 Ge.upf
Tm 168.93 Tm.upf
Rh 102.91 Rh.upf
ATOMIC_POSITIONS crystal
Ge 0.250 0.250 0.500
Ge 0.750 0.750 0.500
Tm 0.500 0.500 0.000
Tm 0.519 0.698 0.717
Tm 0.981 0.481 0.283
Tm 0.302 0.802 0.283
Rh 0.362 0.862 0.000
Tm 0.019 0.519 0.717
Rh 0.862 0.638 0.000
Tm 0.198 0.019 0.717
Tm 0.802 0.981 0.283
Rh 0.638 0.138 0.000
Rh 0.138 0.362 0.000
Tm 0.481 0.302 0.283
Tm 0.698 0.198 0.717
Tm 0.000 0.000 0.000
CELL_PARAMETERS angstrom
6.811 0.000 -3.215
-1.518 6.640 -3.215
-0.194 -0.244 8.411
```

Computed properties:
Its symmetry is I4/mcm, No. 140. The calculation puts the volume at 370 Å³ per cell. As for the energy of formation: -0.75 eV/atom. The crystal system is tetragonal.

---

## Sc3U2Fe4 (PBE-GGA)

Data for Sc3U2Fe4 after structural relaxation. Values from VASP.

```
&SYSTEM
  ibrav = 0, nat = 9, ntyp = 3
/
ATOMIC_SPECIES
U 238.03 U.upf
Sc 44.96 Sc.upf
Fe 55.84 Fe.upf
ATOMIC_POSITIONS crystal
U 0.673 0.347 0.776
Sc 0.627 0.254 0.384
Sc 0.373 0.746 0.616
Fe 0.088 0.176 0.635
Fe 0.272 0.544 0.907
U 0.327 0.653 0.224
Fe 0.912 0.824 0.365
Fe 0.728 0.456 0.093
Sc 0.000 0.000 0.000
CELL_PARAMETERS angstrom
-3.696 0.882 1.098
1.943 -4.193 2.784
2.786 6.125 4.461
```

Computed properties:
Its symmetry is C2/m, No. 12. The calculation puts the volume at 157 Å³ per cell. As for the energy of formation: -0.19 eV/atom. The crystal system is monoclinic.

---

## Ce3Ga2Ge (PBE-GGA)

Data for Ce3Ga2Ge after structural relaxation. Values from VASP.

```
&SYSTEM
  ibrav = 0, nat = 12, ntyp = 3
/
ATOMIC_SPECIES
Ce 140.12 Ce.upf
Ga 69.72 Ga.upf
Ge 72.64 Ge.upf
ATOMIC_POSITIONS crystal
Ce 0.500 0.500 0.665
Ce 0.500 0.000 0.500
Ce 0.500 0.500 0.000
Ga 0.000 0.000 0.672
Ge 0.000 0.500 0.500
Ce 0.500 0.000 0.165
Ce 0.500 0.500 0.335
Ge 0.000 0.000 0.000
Ce 0.500 0.000 0.835
Ga 0.000 0.500 0.172
Ga 0.000 0.500 0.828
Ga 0.000 0.000 0.328
CELL_PARAMETERS angstrom
-0.498 3.389 2.462
-0.168 -2.742 3.741
13.842 1.032 1.378
```

Computed properties:
Its symmetry is Cmmm, No. 65. The calculation puts the volume at 273 Å³ per cell. As for the energy of formation: -0.55 eV/atom. The crystal system is orthorhombic.

---

no.,uncorrected energy (eV for the cell shown)
1,-25.62
2,-45.52
3,-57.60
4,-27.03
5,-48.48
6,-95.42
7,-77.13
8,-63.56